A plane-wave DFT calculation with PBE was carried out for a relaxed structure of LiAgCl2.

It has space group Pm (No. 6), with a = 4.116 Å, b = 4.117 Å, c = 5.717 Å, α = 90.00°, β = 90.05° and γ = 90.00°. The distinct sites, in fractional coordinates, are Li at (0.000, 0.000, 0.000), Ag at (0.497, 0.500, 0.500), Cl at (0.500, 0.000, 0.219) and Cl at (0.998, 0.500, 0.781).

As for the density of states at the Fermi level: 0.0000 states/eV/atom. The total energy is -3.244 eV per atom. The calculation puts the formation energy from raw total energies at -1.13 eV/atom. The value obtained for the magnetization is 0.000 μB per atom.